Entry from Alexandria: crystalline Tl2Pb2O3 at its relaxed geometry (PBE).

Cell lengths 3.577, 11.252, 12.150 Å; angles 21.50, 81.54, 80.86 degrees
Element x y z (fractional)
Tl1 0.436 0.331 0.797
Tl2 0.564 0.669 0.203
Pb1 0.197 0.862 0.745
Pb2 0.803 0.138 0.255
O1 0.000 0.000 0.000
O2 0.239 0.271 0.250
O3 0.761 0.729 0.750

Properties
* total moment: 0.00 Bohr magnetons per cell
* formation energy (no corrections): -0.833 eV per atom


Entry from Alexandria: crystalline AsHRh2 at its relaxed geometry (PBE).

Cell lengths 3.324, 3.324, 5.578 Å; angles 72.66, 72.66, 60.00 degrees
Element x y z (fractional)
As1 0.496 0.496 0.511
H1 0.685 0.685 0.944
Rh1 0.065 0.065 0.804
Rh2 0.253 0.253 0.242

Properties
* total moment: 0.00 Bohr magnetons per cell
* excess energy over the best structure of this formula in the dataset: 0.000 eV per atom


Entry from Alexandria: crystalline KZnTc at its relaxed geometry (PBE).

Cell lengths 5.151, 5.151, 5.151 Å; angles 60.00, 60.00, 60.00 degrees
Element x y z (fractional)
K1 0.250 0.250 0.250
Tc1 0.000 0.000 0.000
Zn1 0.500 0.500 0.500

Properties
* total moment: 3.84 Bohr magnetons per cell
* excess energy over the best structure of this formula in the dataset: 1.219 eV per atom
* formation energy: 1.931 eV/atom


Entry from Alexandria: crystalline LaTl2TeRh at its relaxed geometry (PBE).

Cell lengths 5.273, 5.273, 5.384 Å; angles 90.00, 90.00, 90.00 degrees
Element x y z (fractional)
Tl1 0.000 0.500 0.000
Tl2 0.500 0.000 0.000
Te1 0.500 0.500 0.500
Rh1 0.000 0.000 0.000
La1 0.000 0.000 0.500

Properties
* total moment: 0.00 Bohr magnetons per cell
* formation energy (no corrections): -0.642 eV per atom


Entry from Alexandria: crystalline AlFeAs at its relaxed geometry (PBE).

Cell lengths 4.003, 4.003, 4.003 Å; angles 60.00, 60.00, 60.00 degrees
Element x y z (fractional)
As1 0.500 0.500 0.500
Fe1 0.250 0.250 0.250
Al1 0.000 0.000 0.000

Properties
* total moment: 1.09 Bohr magnetons per cell
* excess energy over the best structure of this formula in the dataset: 0.000 eV per atom
* formation energy: -0.111 eV/atom


Entry from Alexandria: crystalline Tm2Cd5Rh at its relaxed geometry (PBE).

Cell lengths 3.894, 6.813, 13.383 Å; angles 90.00, 90.00, 90.00 degrees
Element x y z (fractional)
Tm1 0.500 0.192 0.606
Tm2 0.500 0.808 0.394
Tm3 0.500 0.308 0.106
Tm4 0.500 0.692 0.894
Cd1 0.000 0.000 0.000
Cd2 0.000 0.500 0.500
Cd3 0.000 0.457 0.746
Cd4 0.000 0.543 0.254
Cd5 0.000 0.043 0.246
Cd6 0.000 0.957 0.754
Cd7 0.500 0.227 0.872
Cd8 0.500 0.773 0.128
Cd9 0.500 0.273 0.372
Cd10 0.500 0.727 0.628
Rh1 0.000 0.000 0.500
Rh2 0.000 0.500 0.000

Properties
* total moment: 0.00 Bohr magnetons per cell
* formation energy: -0.317 eV/atom


Entry from Alexandria: crystalline Ca3Mg4Au4 at its relaxed geometry (PBE).

Cell lengths 4.159, 8.199, 8.867 Å; angles 117.54, 103.56, 90.00 degrees
Element x y z (fractional)
Ca1 0.115 0.115 0.231
Ca2 0.885 0.885 0.769
Ca3 0.000 0.500 0.000
Mg1 0.327 0.133 0.653
Mg2 0.673 0.479 0.347
Mg3 0.673 0.867 0.347
Mg4 0.327 0.521 0.653
Au1 0.231 0.731 0.461
Au2 0.769 0.269 0.539
Au3 0.500 0.803 0.000
Au4 0.500 0.197 0.000

Properties
* total moment: 0.00 Bohr magnetons per cell
* formation energy: -0.643 eV/atom


Entry from Alexandria: crystalline ZrW3S at its relaxed geometry (PBE).

Cell lengths 4.857, 4.857, 4.857 Å; angles 90.00, 90.00, 90.00 degrees
Element x y z (fractional)
S1 0.500 0.500 0.500
Zr1 0.000 0.000 0.000
W1 0.000 0.500 0.000
W2 0.000 0.000 0.500
W3 0.500 0.000 0.000

Properties
* total moment: 0.00 Bohr magnetons per cell
* excess energy over the best structure of this formula in the dataset: 2.352 eV per atom
* formation energy (no corrections): 2.888 eV per atom


Entry from Alexandria: crystalline SrLaHo4Se8 at its relaxed geometry (PBE).

Cell lengths 8.499, 8.499, 8.650 Å; angles 60.58, 60.58, 60.00 degrees
Element x y z (fractional)
Sr1 0.372 0.372 0.883
La1 0.002 0.002 0.995
Ho1 0.626 0.626 0.122
Ho2 0.002 0.495 0.502
Ho3 0.495 0.002 0.502
Ho4 0.002 0.002 0.502
Se1 0.245 0.788 0.723
Se2 0.788 0.245 0.723
Se3 0.245 0.245 0.723
Se4 0.236 0.236 0.293
Se5 0.749 0.232 0.269
Se6 0.232 0.749 0.269
Se7 0.749 0.749 0.269
Se8 0.758 0.758 0.727

Properties
* total moment: 0.00 Bohr magnetons per cell
* formation energy (no corrections): -1.805 eV per atom


Entry from Alexandria: crystalline Na5La3Tl12 at its relaxed geometry (PBE).

Cell lengths 16.104, 16.104, 16.104 Å; angles 109.47, 109.47, 109.47 degrees
Element x y z (fractional)
La1 0.750 0.375 0.125
La2 0.875 0.750 0.125
La3 0.375 0.750 0.625
La4 0.250 0.125 0.375
La5 0.875 0.125 0.250
La6 0.375 0.625 0.250
La7 0.625 0.375 0.750
La8 0.125 0.875 0.750
La9 0.750 0.875 0.625
La10 0.625 0.250 0.375
La11 0.125 0.250 0.875
La12 0.250 0.625 0.875
Na1 0.125 0.375 0.250
Na2 0.000 0.500 0.000
Na3 0.000 0.000 0.000
Na4 0.375 0.250 0.125
Na5 0.500 0.000 0.500
Na6 0.500 0.500 0.000
Na7 0.125 0.750 0.375
Na8 0.750 0.125 0.875
Na9 0.750 0.625 0.375
Na10 0.375 0.125 0.750
Na11 0.625 0.875 0.250
Na12 0.500 0.500 0.500
Na13 0.500 0.000 0.000
Na14 0.000 0.000 0.500
Na15 0.250 0.375 0.625
Na16 0.250 0.875 0.125
Na17 0.000 0.500 0.500
Na18 0.875 0.250 0.625
Na19 0.625 0.750 0.875
Na20 0.875 0.625 0.750
Tl1 0.722 0.147 0.073
Tl2 0.352 0.573 0.426
Tl3 0.927 0.353 0.278
Tl4 0.573 0.222 0.147
Tl5 0.575 0.722 0.648
Tl6 0.927 0.574 0.148
Tl7 0.352 0.778 0.425
Tl8 0.074 0.925 0.147
Tl9 0.574 0.927 0.648
Tl10 0.722 0.575 0.148
Tl11 0.778 0.427 0.353
Tl12 0.852 0.926 0.073
Tl13 0.147 0.722 0.573
Tl14 0.353 0.426 0.075
Tl15 0.075 0.926 0.353
Tl16 0.425 0.147 0.574
Tl17 0.075 0.148 0.222
Tl18 0.427 0.648 0.074
Tl19 0.852 0.925 0.278
Tl20 0.147 0.425 0.074
Tl21 0.353 0.927 0.778
Tl22 0.574 0.647 0.425
Tl23 0.926 0.852 0.573
Tl24 0.778 0.352 0.925
Tl25 0.426 0.353 0.575
Tl26 0.074 0.148 0.427
Tl27 0.222 0.648 0.075
Tl28 0.148 0.075 0.722
Tl29 0.647 0.073 0.222
Tl30 0.853 0.575 0.926
Tl31 0.573 0.352 0.926
Tl32 0.575 0.853 0.426
Tl33 0.925 0.852 0.778
Tl34 0.925 0.074 0.647
Tl35 0.853 0.278 0.427
Tl36 0.148 0.074 0.927
Tl37 0.647 0.574 0.925
Tl38 0.426 0.073 0.352
Tl39 0.278 0.425 0.852
Tl40 0.222 0.573 0.647
Tl41 0.926 0.075 0.853
Tl42 0.648 0.222 0.575
Tl43 0.427 0.778 0.853
Tl44 0.073 0.426 0.852
Tl45 0.425 0.278 0.352
Tl46 0.073 0.647 0.722
Tl47 0.648 0.427 0.574
Tl48 0.278 0.853 0.927

Properties
* total moment: 0.00 Bohr magnetons per cell
* formation energy: 0.133 eV/atom


Entry from Alexandria: crystalline TbNdRe at its relaxed geometry (PBE).

Cell lengths 4.868, 4.868, 7.332 Å; angles 90.00, 90.00, 90.00 degrees
Element x y z (fractional)
Re1 0.000 0.000 0.000
Re2 0.500 0.500 0.000
Tb1 0.000 0.500 0.784
Tb2 0.500 0.000 0.216
Nd1 0.000 0.500 0.248
Nd2 0.500 0.000 0.752

Properties
* total moment: 0.00 Bohr magnetons per cell
* formation energy: 0.257 eV/atom


Entry from Alexandria: crystalline LiRe2Ir at its relaxed geometry (PBE).

Cell lengths 2.749, 2.749, 7.478 Å; angles 90.00, 90.00, 90.00 degrees
Element x y z (fractional)
Ir1 0.000 0.000 0.505
Li1 0.500 0.500 0.737
Re1 0.000 0.000 0.993
Re2 0.500 0.500 0.264

Properties
* total moment: 0.00 Bohr magnetons per cell
* formation energy: 0.160 eV/atom